NiGeOF2: relaxed, PBE+U.

CIF file:
```
data_NiGeOF2
_chemical_formula_sum 'Ni1 Ge1 O1 F2'
_symmetry_space_group_name_H-M 'P 4/m m m'
_symmetry_Int_Tables_number 123
_symmetry_space_group_name_Hall '-P 4 2'
_cell_length_a 3.865
_cell_length_b 3.865
_cell_length_c 4.111
_cell_angle_alpha 90.00
_cell_angle_beta 90.00
_cell_angle_gamma 90.00
loop_
_atom_site_label
_atom_site_type_symbol
_atom_site_fract_x
_atom_site_fract_y
_atom_site_fract_z
_atom_site_occupancy
Ni1 Ni 0.000 0.000 0.000 1
Ge1 Ge 0.500 0.500 0.500 1
O1 O 0.000 0.000 0.500 1
F1 F 0.000 0.500 0.000 1
```

The total DFT energy (no corrections) is -4.463 eV per atom. The calculation puts the relative energy among the computed polymorphs at 0.000 eV per atom. For the density, the calculation gives 5.0 g cm⁻³.